A plane-wave DFT calculation with PBE was carried out for crystalline NaSe2N2 at its relaxed geometry.

Output
The calculation puts the calculated volume at 110 Å³/cell. As for the space-group type: No. 123. The value obtained for the uncorrected formation energy is 1.963 eV/atom. The total magnetic moment comes out at 5.8 μB/f.u. The calculation puts the energy above the most stable polymorph in this dataset at 1529.8 meV/atom.

Lattice parameters (Å, degrees): 4.3183 4.3183 5.9216 90.00 90.00 90.00
Element x y z (fractional)
Na 0.0000 0.0000 0.0000
Se 0.0000 0.0000 0.5000
Se 0.5000 0.5000 0.5000
N 0.0000 0.5000 0.0000
N 0.5000 0.0000 0.0000